Entry 1:
First-principles (PBE) data for a relaxed structure of BeTc2Br, as listed in Alexandria.

Structure (CIF):
```
data_BeTc2Br
_chemical_formula_sum 'Be1 Tc2 Br1'
_cell_length_a 2.956
_cell_length_b 4.372
_cell_length_c 4.442
_cell_angle_alpha 90.00
_cell_angle_beta 90.00
_cell_angle_gamma 90.00
_space_group_name_H-M_alt 'P m m 2'
_space_group_IT_number 25
loop_
_space_group_symop_operation_xyz
'x,y,z'
'-x,-y,z'
'-x,y,z'
'x,-y,z'
loop_
_atom_site_label
_atom_site_type_symbol
_atom_site_fract_x
_atom_site_fract_y
_atom_site_fract_z
Be1 Be 0.000 0.000 0.000
Tc1 Tc 0.000 0.500 0.239
Tc2 Tc 0.500 0.000 0.439
Br1 Br 0.500 0.500 0.760
```

Fermi-level density of states: 3.44 states/eV per cell
Formation energy from raw total energies: 0.60 eV per atom



Entry 2:
First-principles (PBE) data for a relaxed structure of Be2TcBr, as listed in Alexandria.

Structure (CIF):
```
data_Be2TcBr
_chemical_formula_sum 'Be2 Tc1 Br1'
_cell_length_a 3.357
_cell_length_b 3.200
_cell_length_c 5.814
_cell_angle_alpha 90.00
_cell_angle_beta 103.69
_cell_angle_gamma 90.00
_space_group_name_H-M_alt 'P 1 m 1'
_space_group_IT_number 6
loop_
_space_group_symop_operation_xyz
'x,y,z'
'x,-y,z'
loop_
_atom_site_label
_atom_site_type_symbol
_atom_site_fract_x
_atom_site_fract_y
_atom_site_fract_z
Be1 Be 0.000 0.000 0.000
Be2 Be 0.098 0.500 0.254
Tc1 Tc 0.613 0.000 0.291
Br1 Br 0.704 0.500 0.663
```

Fermi-level density of states: 1.21 states/eV per cell
Formation energy from raw total energies: 0.33 eV per atom



Entry 3:
First-principles (PBE) data for a relaxed structure of BeTcBr, as listed in Alexandria.

Structure (CIF):
```
data_BeTcBr
_chemical_formula_sum 'Be2 Tc2 Br2'
_cell_length_a 2.993
_cell_length_b 2.993
_cell_length_c 12.563
_cell_angle_alpha 90.00
_cell_angle_beta 90.00
_cell_angle_gamma 90.00
_space_group_name_H-M_alt 'I 4 m m'
_space_group_IT_number 107
_space_group_name_Hall 'I 4 -2'
loop_
_atom_site_label
_atom_site_type_symbol
_atom_site_fract_x
_atom_site_fract_y
_atom_site_fract_z
Be1 Be 0.000 0.000 0.000
Tc1 Tc 0.000 0.000 0.591
Br1 Br 0.000 0.000 0.225
```

Fermi-level density of states: 1.80 states/eV per cell
Formation energy from raw total energies: 0.56 eV per atom



Entry 4:
First-principles (PBE) data for a relaxed structure of BeTc2Br, as listed in Alexandria.

Structure (CIF):
```
data_BeTc2Br
_chemical_formula_sum 'Be2 Tc4 Br2'
_cell_length_a 3.999
_cell_length_b 3.999
_cell_length_c 7.277
_cell_angle_alpha 90.00
_cell_angle_beta 90.00
_cell_angle_gamma 90.00
_space_group_name_H-M_alt 'I -4 m 2'
_space_group_IT_number 119
_space_group_name_Hall 'I -4 -2'
loop_
_atom_site_label
_atom_site_type_symbol
_atom_site_fract_x
_atom_site_fract_y
_atom_site_fract_z
Be1 Be 0.000 0.000 0.000
Tc1 Tc 0.000 0.000 0.500
Tc2 Tc 0.000 0.500 0.250
Br1 Br 0.000 0.500 0.750
```

Fermi-level density of states: 6.13 states/eV per cell
Formation energy from raw total energies: 0.89 eV per atom



Entry 5:
First-principles (PBE) data for a relaxed structure of BeTcBr2, as listed in Alexandria.

Structure (CIF):
```
data_BeTcBr2
_chemical_formula_sum 'Be2 Tc2 Br4'
_cell_length_a 6.471
_cell_length_b 6.483
_cell_length_c 3.145
_cell_angle_alpha 90.00
_cell_angle_beta 90.00
_cell_angle_gamma 90.00
_space_group_name_H-M_alt 'C m m m'
_space_group_IT_number 65
_space_group_name_Hall '-C 2 2'
loop_
_atom_site_label
_atom_site_type_symbol
_atom_site_fract_x
_atom_site_fract_y
_atom_site_fract_z
Be1 Be 0.000 0.000 0.000
Tc1 Tc 0.000 0.500 0.000
Br1 Br 0.250 0.250 0.500
```

Fermi-level density of states: 4.79 states/eV per cell
Formation energy from raw total energies: 1.01 eV per atom



Entry 6:
First-principles (PBE) data for a relaxed structure of BeTc2Br, as listed in Alexandria.

Structure (CIF):
```
data_BeTc2Br
_chemical_formula_sum 'Be1 Tc2 Br1'
_cell_length_a 3.761
_cell_length_b 3.248
_cell_length_c 6.195
_cell_angle_alpha 90.00
_cell_angle_beta 91.02
_cell_angle_gamma 90.00
_space_group_name_H-M_alt 'P 1 2/m 1'
_space_group_IT_number 10
loop_
_space_group_symop_operation_xyz
'x,y,z'
'-x,-y,-z'
'-x,y,-z'
'x,-y,z'
loop_
_atom_site_label
_atom_site_type_symbol
_atom_site_fract_x
_atom_site_fract_y
_atom_site_fract_z
Be1 Be 0.000 0.000 0.000
Tc1 Tc 0.326 0.500 0.858
Br1 Br 0.500 0.000 0.500
```

Fermi-level density of states: 2.83 states/eV per cell
Formation energy from raw total energies: 0.54 eV per atom



Entry 7:
First-principles (PBE) data for a relaxed structure of Be3TcBr, as listed in Alexandria.

Structure (CIF):
```
data_Be3TcBr
_chemical_formula_sum 'Be3 Tc1 Br1'
_cell_length_a 4.178
_cell_length_b 4.178
_cell_length_c 4.178
_cell_angle_alpha 90.00
_cell_angle_beta 90.00
_cell_angle_gamma 90.00
_space_group_name_H-M_alt 'P m -3 m'
_space_group_IT_number 221
_space_group_name_Hall '-P 4 2 3'
loop_
_atom_site_label
_atom_site_type_symbol
_atom_site_fract_x
_atom_site_fract_y
_atom_site_fract_z
Be1 Be 0.000 0.000 0.500
Tc1 Tc 0.500 0.500 0.500
Br1 Br 0.000 0.000 0.000
```

Fermi-level density of states: 1.51 states/eV per cell
Formation energy from raw total energies: 1.64 eV per atom



Entry 8:
First-principles (PBE) data for a relaxed structure of BeTcBr, as listed in Alexandria.

Structure (CIF):
```
data_BeTcBr
_chemical_formula_sum 'Be1 Tc1 Br1'
_cell_length_a 3.1261
_cell_length_b 3.1261
_cell_length_c 5.7789
_cell_angle_alpha 90.00
_cell_angle_beta 90.00
_cell_angle_gamma 120.00
_space_group_name_H-M_alt 'P 3 m 1'
_space_group_IT_number 156
loop_
_space_group_symop_operation_xyz
'x,y,z'
'-y,x-y,z'
'-x+y,-x,z'
'-y,-x,z'
'-x+y,y,z'
'x,x-y,z'
loop_
_atom_site_label
_atom_site_type_symbol
_atom_site_fract_x
_atom_site_fract_y
_atom_site_fract_z
Be1 Be 0.0000 0.0000 0.0000
Tc1 Tc 0.3333 0.6667 0.7397
Br1 Br 0.0000 0.0000 0.4182
```

Fermi-level density of states: 1.16 states/eV per cell
Formation energy from raw total energies: 0.50 eV per atom



Entry 9:
First-principles (PBE) data for a relaxed structure of BeTcBr2, as listed in Alexandria.

Structure (CIF):
```
data_BeTcBr2
_chemical_formula_sum 'Be4 Tc4 Br8'
_cell_length_a 6.837
_cell_length_b 6.837
_cell_length_c 6.837
_cell_angle_alpha 90.00
_cell_angle_beta 90.00
_cell_angle_gamma 90.00
_space_group_name_H-M_alt 'F -4 3 m'
_space_group_IT_number 216
_space_group_name_Hall 'F -4 2 3'
loop_
_atom_site_label
_atom_site_type_symbol
_atom_site_fract_x
_atom_site_fract_y
_atom_site_fract_z
Be1 Be 0.000 0.000 0.000
Tc1 Tc 0.250 0.250 0.750
Br1 Br 0.000 0.000 0.500
Br2 Br 0.250 0.250 0.250
```

Fermi-level density of states: 16.26 states/eV per cell
Formation energy from raw total energies: 1.26 eV per atom



Entry 10:
First-principles (PBE) data for a relaxed structure of BeTcBr, as listed in Alexandria.

Structure (CIF):
```
data_BeTcBr
_chemical_formula_sum 'Be4 Tc4 Br4'
_cell_length_a 5.728
_cell_length_b 5.728
_cell_length_c 5.728
_cell_angle_alpha 90.00
_cell_angle_beta 90.00
_cell_angle_gamma 90.00
_space_group_name_H-M_alt 'F -4 3 m'
_space_group_IT_number 216
_space_group_name_Hall 'F -4 2 3'
loop_
_atom_site_label
_atom_site_type_symbol
_atom_site_fract_x
_atom_site_fract_y
_atom_site_fract_z
Be1 Be 0.000 0.000 0.000
Tc1 Tc 0.250 0.250 0.250
Br1 Br 0.250 0.250 0.750
```

Fermi-level density of states: 13.42 states/eV per cell
Formation energy from raw total energies: 1.27 eV per atom



Entry 11:
First-principles (PBE) data for a relaxed structure of Be2TcBr, as listed in Alexandria.

Structure (CIF):
```
data_Be2TcBr
_chemical_formula_sum 'Be4 Tc2 Br2'
_cell_length_a 3.450
_cell_length_b 3.450
_cell_length_c 8.903
_cell_angle_alpha 90.00
_cell_angle_beta 90.00
_cell_angle_gamma 90.00
_space_group_name_H-M_alt 'I -4 m 2'
_space_group_IT_number 119
_space_group_name_Hall 'I -4 -2'
loop_
_atom_site_label
_atom_site_type_symbol
_atom_site_fract_x
_atom_site_fract_y
_atom_site_fract_z
Be1 Be 0.000 0.000 0.000
Be2 Be 0.000 0.500 0.250
Tc1 Tc 0.000 0.000 0.500
Br1 Br 0.000 0.500 0.750
```

Fermi-level density of states: 4.43 states/eV per cell
Formation energy from raw total energies: 0.76 eV per atom



Entry 12:
First-principles (PBE) data for a relaxed structure of BeTcBr2, as listed in Alexandria.

Structure (CIF):
```
data_BeTcBr2
_chemical_formula_sum 'Be2 Tc2 Br4'
_cell_length_a 3.178
_cell_length_b 6.055
_cell_length_c 9.595
_cell_angle_alpha 90.00
_cell_angle_beta 90.00
_cell_angle_gamma 90.00
_space_group_name_H-M_alt 'C m m 2'
_space_group_IT_number 35
loop_
_space_group_symop_operation_xyz
'x,y,z'
'-x,-y,z'
'-x,y,z'
'x,-y,z'
'x+1/2,y+1/2,z'
'-x+1/2,-y+1/2,z'
'-x+1/2,y+1/2,z'
'x+1/2,-y+1/2,z'
loop_
_atom_site_label
_atom_site_type_symbol
_atom_site_fract_x
_atom_site_fract_y
_atom_site_fract_z
Be1 Be 0.000 0.000 0.000
Tc1 Tc 0.000 0.500 0.203
Br1 Br 0.000 0.000 0.407
Br2 Br 0.000 0.500 0.845
```

Fermi-level density of states: 2.97 states/eV per cell
Formation energy from raw total energies: 0.30 eV per atom



| no. | distance to the lowest polymorph of the same formula (meV per atom) | final energy (eV per atom) |
| --- | --- | --- |
| 1 | 312 | -5.9279 |
| 2 | 90 | -4.5380 |
| 3 | 83 | -4.6924 |
| 4 | 595 | -5.6445 |
| 5 | 934 | -3.3522 |
| 6 | 243 | -5.9965 |
| 7 | 417 | -3.0012 |
| 8 | 22 | -4.7536 |
| 9 | 1187 | -3.0988 |
| 10 | 786 | -3.9898 |
| 11 | 518 | -4.1100 |
| 12 | 226 | -4.0603 |